No. 1
A plane-wave DFT calculation with GGA-PBE was carried out for an optimized crystal structure of SmHoBeAl.

Computed properties:
energy relative to the elements: -103 meV/atom
symmetry: F-43m
magnetic moment: 0.000 μB/f.u.
D(E_F): 3.76 states/eV per cell

a = 5.0286 Å, b = 5.0286 Å, c = 5.0286 Å
α = 60.00°, β = 60.00°, γ = 60.00°
Closest atoms and distances in Å follow each position.
Positions (direct):
Sm1 0.7500 0.7500 0.7500  4 Be 3.08, 4 Al 3.08
Ho1 0.2500 0.2500 0.2500  4 Be 3.08, 4 Al 3.08
Be1 0.0000 0.0000 0.0000  4 Ho 3.08, 4 Sm 3.08
Al1 0.5000 0.5000 0.5000  4 Ho 3.08, 4 Sm 3.08

No. 2
A plane-wave DFT calculation with GGA-PBE was carried out for an optimized crystal structure of MgInBi2.

Computed properties:
energy relative to the elements: 2 meV/atom
symmetry: P4/mmm
magnetic moment: 0.000 μB/f.u.
D(E_F): 2.35 states/eV per cell

a = 4.6616 Å, b = 4.9573 Å, c = 4.9573 Å
α = 90.00°, β = 90.00°, γ = 90.00°
Closest atoms and distances in Å follow each position.
Positions (direct):
Bi1 0.0000 0.5000 0.0000  4 In 3.40, 4 Mg 3.40, 4 Bi 3.51
Bi2 0.0000 0.0000 0.5000  4 In 3.40, 4 Mg 3.40, 4 Bi 3.51
In1 0.5000 0.5000 0.5000  8 Bi 3.40, 4 Mg 3.51
Mg1 0.5000 0.0000 0.0000  8 Bi 3.40, 4 In 3.51

No. 3
A plane-wave DFT calculation with GGA-PBE was carried out for an optimized crystal structure of Ac2TmAlO6.

Computed properties:
symmetry: P4mm
E_form (uncorrected): -32.90 eV/f.u.
magnetic moment: 0.000 μB/f.u.
D(E_F): 0.00 states/eV per cell

a = 4.4951 Å, b = 5.6450 Å, c = 5.6450 Å
α = 90.00°, β = 90.00°, γ = 90.00°
Closest atoms and distances in Å follow each position.
Positions (direct):
Ac1 0.0583 0.0000 0.5000  8 O 2.59-2.90
Ac2 0.0583 0.5000 0.0000  8 O 2.59-2.90
O1 0.6939 0.2326 0.2326  1 Al 1.90
O2 0.1343 0.5000 0.5000  2 Tm 2.14-2.35
O3 0.6939 0.7674 0.7674  1 Al 1.90
O4 0.6939 0.2326 0.7674  1 Al 1.90
O5 0.2021 0.0000 0.0000  1 Al 1.82
O6 0.6939 0.7674 0.2326  1 Al 1.90
Al1 0.6073 0.0000 0.0000  5 O 1.82-1.90
Tm1 0.6110 0.5000 0.5000  6 O 2.14-2.35